[1]
The following is a DFT calculation (PBE) of crystalline BaNa2HSe at its relaxed geometry.

CIF file:
```
data_BaNa2HSe
_chemical_formula_sum 'Ba1 Na2 H1 Se1'
_cell_length_a 4.743
_cell_length_b 4.743
_cell_length_c 5.567
_cell_angle_alpha 90.00
_cell_angle_beta 90.00
_cell_angle_gamma 90.00
_symmetry_space_group_name_H-M 'P 4/m m m'
_symmetry_Int_Tables_number 123
_symmetry_space_group_name_Hall '-P 4 2'
loop_
_atom_site_label
_atom_site_type_symbol
_atom_site_fract_x
_atom_site_fract_y
_atom_site_fract_z
Ba1 Ba 0.000 0.000 0.000
Na1 Na 0.000 0.500 0.500
H1 H 0.000 0.000 0.500
Se1 Se 0.500 0.500 0.000
```

Output
total moment = 0.00 μB per formula unit
calculated total energy = -0.215 Ry per atom
crystal system = tetragonal


[2]
The following is a DFT calculation (PBE) of crystalline Ta2PbSe at its relaxed geometry.

CIF file:
```
data_Ta2PbSe
_chemical_formula_sum 'Ta2 Pb1 Se1'
_cell_length_a 3.085
_cell_length_b 3.085
_cell_length_c 9.989
_cell_angle_alpha 90.00
_cell_angle_beta 90.00
_cell_angle_gamma 90.00
_symmetry_space_group_name_H-M 'P 4 m m'
_symmetry_Int_Tables_number 99
loop_
_symmetry_equiv_pos_as_xyz
'x,y,z'
'-y,x,z'
'-x,-y,z'
'y,-x,z'
'-x,y,z'
'y,x,z'
'x,-y,z'
'-y,-x,z'
loop_
_atom_site_label
_atom_site_type_symbol
_atom_site_fract_x
_atom_site_fract_y
_atom_site_fract_z
Ta1 Ta 0.000 0.000 0.000
Ta2 Ta 0.500 0.500 0.216
Pb1 Pb 0.000 0.000 0.459
Se1 Se 0.500 0.500 0.847
```

Output
offset from the most stable computed form = 65 meV per atom
total moment = 0.00 μB per formula unit
calculated total energy = -0.568 Ry per atom
crystal system = tetragonal


Q: What is the formula in the first record?
A: BaNa2HSe


Copy entry 1 word for word.
The following is a DFT calculation (PBE) of crystalline BaNa2HSe at its relaxed geometry.

CIF file:
```
data_BaNa2HSe
_chemical_formula_sum 'Ba1 Na2 H1 Se1'
_cell_length_a 4.743
_cell_length_b 4.743
_cell_length_c 5.567
_cell_angle_alpha 90.00
_cell_angle_beta 90.00
_cell_angle_gamma 90.00
_symmetry_space_group_name_H-M 'P 4/m m m'
_symmetry_Int_Tables_number 123
_symmetry_space_group_name_Hall '-P 4 2'
loop_
_atom_site_label
_atom_site_type_symbol
_atom_site_fract_x
_atom_site_fract_y
_atom_site_fract_z
Ba1 Ba 0.000 0.000 0.000
Na1 Na 0.000 0.500 0.500
H1 H 0.000 0.000 0.500
Se1 Se 0.500 0.500 0.000
```

Output
total moment = 0.00 μB per formula unit
calculated total energy = -0.215 Ry per atom
crystal system = tetragonal